Material: K3FeF
Method: DFT, PBE with a Hubbard U
State: optimized geometry

a = 5.4885 Å, b = 5.4885 Å, c = 5.4885 Å
α = 90.00°, β = 90.00°, γ = 90.00°
Last column: nearest neighbours and their distance in Å.
Element x y z (fractional)
K 0.0000 0.0000 0.5000  2 F 2.74
K 0.0000 0.5000 0.0000  2 F 2.74
K 0.5000 0.0000 0.0000  2 F 2.74
Fe 0.5000 0.5000 0.5000  12 K 3.88
F 0.0000 0.0000 0.0000  6 K 2.74

Properties
* total moment: 3.30 μB/cell
* energy above the lowest structure with this stoichiometry: 0 meV/atom
* theoretical density: 1.9 Mg/m³
* DOS at the Fermi energy: 2.613 states/eV per cell